A relaxed Pa2TePt crystal. Source: the Alexandria database, functional PBE-GGA.

ΔE to the lowest computed polymorph, meV/atom: 758
Uncorrected formation energy, eV per atom: 0.04

Cell lengths 3.363, 3.363, 10.447 Å; angles 80.74, 80.74, 60.00 degrees
Fractional positions:
Pa  0.087  0.087  0.740
Pa  0.913  0.913  0.260
Te  0.500  0.500  0.500
Pt  0.000  0.000  0.000

A relaxed SiAgBr2 crystal. Source: the Alexandria database, functional PBE-GGA.

ΔE to the lowest computed polymorph, meV/atom: 260
Uncorrected formation energy, eV per atom: 0.17

Cell lengths 5.942, 5.942, 5.942 Å; angles 146.33, 111.50, 78.54 degrees
Fractional positions:
Ag  0.278  0.778  0.500
Br  0.047  0.047  0.000
Br  0.696  0.196  0.500
Si  0.479  0.479  0.000

A relaxed FeIrPb2 crystal. Source: the Alexandria database, functional PBE-GGA.

ΔE to the lowest computed polymorph, meV/atom: 484
Energy relative to the elements, eV per atom: 0.722

Cell lengths 4.729, 4.729, 4.729 Å; angles 60.00, 60.00, 60.00 degrees
Fractional positions:
Pb  0.250  0.250  0.250
Pb  0.750  0.750  0.750
Ir  0.500  0.500  0.500
Fe  0.000  0.000  0.000

A relaxed CeLu2Hg crystal. Source: the Alexandria database, functional PBE-GGA.

ΔE to the lowest computed polymorph, meV/atom: 0
Energy relative to the elements, eV per atom: -0.190

Cell lengths 3.533, 3.533, 8.687 Å; angles 90.00, 90.00, 90.00 degrees
Fractional positions:
Lu  0.000  0.000  0.777
Lu  0.000  0.000  0.223
Hg  0.500  0.500  0.000
Ce  0.500  0.500  0.500

A relaxed BeTePt crystal. Source: the Alexandria database, functional PBE-GGA.

Uncorrected formation energy, eV per atom: -0.42

Cell lengths 4.190, 3.293, 9.113 Å; angles 89.99, 100.59, 66.86 degrees
Fractional positions:
Be  0.462  0.486  0.543
Be  0.072  0.181  0.625
Te  0.162  0.135  0.265
Te  0.372  0.531  0.903
Pt  0.849  0.792  0.444
Pt  0.685  0.874  0.724

A relaxed RbCa2TaTe crystal. Source: the Alexandria database, functional PBE-GGA.

Uncorrected formation energy, eV per atom: 1.64

Cell lengths 5.766, 5.110, 5.766 Å; angles 90.00, 90.00, 90.00 degrees
Fractional positions:
Ca  0.000  0.000  0.500
Ca  0.500  0.000  0.000
Te  0.500  0.500  0.500
Rb  0.000  0.000  0.000
Ta  0.000  0.500  0.000

A relaxed Zn2Fe2Os crystal. Source: the Alexandria database, functional PBE-GGA.

Energy relative to the elements, eV per atom: 0.448

Cell lengths 5.937, 5.937, 3.898 Å; angles 90.00, 90.00, 90.00 degrees
Fractional positions:
Zn  0.176  0.676  0.500
Zn  0.676  0.824  0.500
Zn  0.824  0.324  0.500
Zn  0.324  0.176  0.500
Os  0.000  0.000  0.000
Os  0.500  0.500  0.000
Fe  0.374  0.874  0.000
Fe  0.874  0.626  0.000
Fe  0.626  0.126  0.000
Fe  0.126  0.374  0.000

A relaxed BeMoPt2 crystal. Source: the Alexandria database, functional PBE-GGA.

Energy relative to the elements, eV per atom: -0.145

Cell lengths 4.616, 4.616, 2.746 Å; angles 90.00, 90.00, 90.00 degrees
Fractional positions:
Be  0.500  0.000  0.500
Mo  0.000  0.500  0.500
Pt  0.000  0.000  0.000
Pt  0.500  0.500  0.000

Taking the records one at a time from the top gives total magnetization values of 0.04; 0.00; 0.00; 1.08; 0.00; 1.60; 0.01; 0.00 Bohr magnetons per cell.